(1)
A geometry-optimized TiZn2Pt structure, computed with PBE-GGA.

abc: 5.999 5.999 5.999
angles: 52.68 153.34 135.44
Positions (direct):
Ti 0.000 0.000 0.000
Zn 0.000 0.736 0.736
Zn 0.000 0.264 0.264
Pt 0.000 0.500 0.500

- Space-group type: Immm (71)
- Formation energy: -135 meV per atom



(2)
A geometry-optimized NbInW2Se structure, computed with PBE-GGA.

abc: 4.565 5.168 4.565
angles: 90.00 90.00 90.00
Positions (direct):
In 0.000 0.500 0.000
Se 0.000 0.000 0.000
Nb 0.500 0.500 0.500
W 0.000 0.000 0.500
W 0.500 0.000 0.000

- Space-group type: P4/mmm (123)
- Formation energy (no corrections): 1.590 eV/atom



(3)
A geometry-optimized La3Si4Ir2 structure, computed with PBE-GGA.

abc: 4.192 6.203 8.277
angles: 108.21 90.00 109.75
Positions (direct):
Si 0.885 0.770 0.603
Si 0.721 0.443 0.076
Si 0.279 0.557 0.924
Si 0.115 0.230 0.397
La 0.000 0.000 0.000
La 0.397 0.794 0.311
La 0.603 0.206 0.689
Ir 0.301 0.602 0.643
Ir 0.699 0.398 0.357

- Space-group type: C2/m (12)
- E above lowest polymorph: 11 meV/atom
- Formation energy (no corrections): -0.889 eV/atom



(4)
A geometry-optimized CuGe2As2 structure, computed with PBE-GGA.

abc: 7.141 7.141 3.658
angles: 90.00 90.00 90.00
Positions (direct):
Ge 0.349 0.849 0.000
Ge 0.151 0.349 0.000
Ge 0.849 0.651 0.000
Ge 0.651 0.151 0.000
As 0.835 0.335 0.500
As 0.665 0.835 0.500
As 0.165 0.665 0.500
As 0.335 0.165 0.500
Cu 0.000 0.000 0.000
Cu 0.500 0.500 0.000

- Space-group type: P4/mbm (127)
- E above lowest polymorph: 86 meV/atom
- Formation energy: 403 meV per atom



(5)
A geometry-optimized HoScAl3 structure, computed with PBE-GGA.

abc: 5.720 5.275 7.567
angles: 90.00 112.21 90.00
Positions (direct):
Al 0.888 0.750 0.274
Al 0.000 0.500 0.000
Al 0.000 0.000 0.000
Al 0.112 0.250 0.726
Al 0.614 0.250 0.726
Al 0.386 0.750 0.274
Ho 0.585 0.250 0.170
Ho 0.415 0.750 0.830
Sc 0.808 0.750 0.616
Sc 0.192 0.250 0.384

- Space-group type: Cmcm (63)
- Formation energy: -309 meV per atom



(6)
A geometry-optimized BaCuRe structure, computed with PBE-GGA.

abc: 4.980 4.980 3.010
angles: 90.00 90.00 120.00
Each line ends with the local moment (μB).
Positions (direct):
Cu 0.667 0.333 0.500  0.00
Ba 0.000 0.000 0.000  0.00
Re 0.333 0.667 0.501  0.06

- Space-group type: P-6m2 (187)
- E above lowest polymorph: 316 meV/atom
- Formation energy: 1251 meV per atom



(7)
A geometry-optimized Cu2GeAu2 structure, computed with PBE-GGA.

abc: 4.400 4.424 5.038
angles: 68.75 68.19 61.85
Positions (direct):
Cu 0.187 0.688 0.441
Cu 0.813 0.312 0.559
Ge 0.000 0.500 0.000
Au 0.395 0.893 0.806
Au 0.605 0.107 0.194

- Space-group type: P-1 (2)
- E above lowest polymorph: 0 meV/atom
- Formation energy: 37 meV per atom



(8)
A geometry-optimized LiLaAg2 structure, computed with PBE-GGA.

abc: 5.028 5.028 5.028
angles: 60.00 60.00 60.00
Positions (direct):
La 0.500 0.500 0.500
Li 0.250 0.250 0.250
Ag 0.750 0.750 0.750
Ag 0.000 0.000 0.000

- Space-group type: F-43m (216)
- Formation energy: -103 meV per atom



(9)
A geometry-optimized UPaCrSe6 structure, computed with PBE-GGA.

abc: 6.348 6.658 6.658
angles: 120.00 90.00 90.00
Each line ends with the local moment (μB).
Positions (direct):
Se 0.743 0.312 0.997  -0.08
Se 0.743 0.003 0.314  -0.08
Se 0.257 0.686 0.997  -0.08
Se 0.743 0.686 0.688  -0.08
Se 0.257 0.312 0.314  -0.08
Se 0.257 0.003 0.688  -0.08
U 0.500 0.667 0.333  1.76
Pa 0.000 0.333 0.667  0.42
Cr 0.500 0.000 0.000  3.06

- Space-group type: P312 (149)
- Formation energy (no corrections): -0.904 eV/atom



(10)
A geometry-optimized TbTm3Pb3 structure, computed with PBE-GGA.

abc: 9.324 9.324 9.324
angles: 90.00 90.00 90.00
Positions (direct):
Tm 0.321 0.821 0.679
Tm 0.073 0.427 0.573
Tm 0.179 0.821 0.321
Tm 0.927 0.927 0.927
Tm 0.679 0.679 0.679
Tm 0.179 0.179 0.179
Tm 0.679 0.321 0.821
Tm 0.821 0.679 0.321
Tm 0.573 0.073 0.427
Tm 0.821 0.321 0.179
Tm 0.321 0.179 0.821
Tm 0.427 0.573 0.073
Pb 0.876 0.999 0.247
Pb 0.999 0.247 0.876
Pb 0.624 0.001 0.747
Pb 0.253 0.124 0.499
Pb 0.247 0.876 0.999
Pb 0.376 0.501 0.753
Pb 0.124 0.499 0.253
Pb 0.753 0.376 0.501
Pb 0.747 0.624 0.001
Pb 0.501 0.753 0.376
Pb 0.001 0.747 0.624
Pb 0.499 0.253 0.124
Tb 0.569 0.931 0.069
Tb 0.431 0.431 0.431
Tb 0.931 0.069 0.569
Tb 0.069 0.569 0.931

- Space-group type: P2_13 (198)
- E above lowest polymorph: 0 meV/atom
- Formation energy: -498 meV per atom



(11)
A geometry-optimized CaTe2PbN structure, computed with PBE-GGA.

abc: 6.022 6.022 4.535
angles: 90.00 90.00 90.00
Each line ends with the local moment (μB).
Positions (direct):
Pb 0.500 0.500 0.500  0.00
N 0.000 0.000 0.500  1.32
Te 0.000 0.500 0.000  0.10
Te 0.500 0.000 0.000  0.10
Ca 0.000 0.000 0.000  0.02

- Space-group type: P4/mmm (123)
- E above lowest polymorph: 30 meV/atom
- Formation energy (no corrections): 0.349 eV/atom



(12)
A geometry-optimized AlPb4Au5 structure, computed with PBE-GGA.

abc: 5.025 7.298 7.298
angles: 83.19 69.86 69.86
Positions (direct):
Pb 0.456 0.703 0.297
Pb 0.158 0.297 0.297
Pb 0.753 0.703 0.703
Pb 0.456 0.297 0.703
Au 0.148 0.000 0.636
Au 0.784 0.364 0.000
Au 0.148 0.636 0.000
Au 0.784 0.000 0.364
Au 0.648 0.000 0.000
Al 0.155 0.000 0.000

- Space-group type: I4mm (107)
- Formation energy: -105 meV per atom



Number 1: total DFT energy (no corrections) -4.256 eV/atom, density 9.174 g cm⁻³. Number 2: total DFT energy (no corrections) -6.850 eV/atom, density 10.089 g cm⁻³. Number 3: total DFT energy (no corrections) -6.911 eV/atom, density 7.939 g cm⁻³. Number 4: total DFT energy (no corrections) -4.123 eV/atom, density 6.387 g cm⁻³. Number 5: total DFT energy (no corrections) -4.736 eV/atom, density 4.569 g cm⁻³. Number 6: total DFT energy (no corrections) -4.905 eV/atom, density 9.945 g cm⁻³. Number 7: total DFT energy (no corrections) -3.836 eV/atom, density 12.613 g cm⁻³. Number 8: total DFT energy (no corrections) -3.239 eV/atom, density 6.681 g cm⁻³. Number 9: total DFT energy (no corrections) -6.605 eV/atom, density 6.778 g cm⁻³. Number 10: total DFT energy (no corrections) -4.665 eV/atom, density 10.550 g cm⁻³. Number 11: total DFT energy (no corrections) -3.714 eV/atom, density 5.215 g cm⁻³. Number 12: total DFT energy (no corrections) -3.601 eV/atom, density 12.958 g cm⁻³.